Compound: GaTcAsSe2
Source: Alexandria
Functional: GGA-PBE
Structure: optimized geometry

Properties
The magnetic moment is 0.000 μB/f.u. For the theoretical density, the calculation gives 5.57 g/cm³. The energy relative to the elements, uncorrected comes out at 313 meV per atom. As for the total energy: -4.690 eV/atom.

```
5
Lattice="-1.6500 0.2059 -4.7307 -0.8028 -4.9493 0.0646 -4.4189 0.7373 1.5733" Properties=species:S:1:pos:R:3 pbc="T T T"
As -2.2095 0.3686 0.7866
Ga -3.4358 -2.0031 -1.5464
Tc 0.0000 0.0000 0.0000
Se -0.4014 -2.4747 0.0323
Se -0.8250 0.1029 -2.3654
```